Ac6Si2PtCl3: relaxed, PBE.

Computed properties:
For the density of states at the Fermi level, the calculation gives 8.399 states/eV/cell. For the uncorrected formation energy, the calculation gives -1216 meV per atom.

Cell and atoms, written as POSCAR:
```
Ac6Si2PtCl3
1.0
4.500 0.000 0.000
0.000 9.034 0.553
-2.250 -2.367 9.364
Ac Si Pt Cl
6 2 1 3
direct
0.342 0.902 0.684
0.671 0.574 0.342
0.658 0.098 0.316
0.002 0.234 0.003
0.998 0.766 0.997
0.329 0.426 0.658
0.836 0.662 0.672
0.164 0.338 0.328
0.500 0.000 0.000
0.500 0.500 0.000
0.824 0.158 0.648
0.176 0.842 0.352
```

SrSbF2: relaxed, PBE.

Computed properties:
For the density of states at the Fermi level, the calculation gives 1.607 states/eV/cell. For the uncorrected formation energy, the calculation gives -2457 meV per atom.

Cell and atoms, written as POSCAR:
```
SrSbF2
1.0
2.120 0.000 9.258
-1.060 1.836 9.258
-1.060 -1.836 9.258
Sb F Sr
1 2 1
direct
0.000 0.000 0.000
0.873 0.873 0.873
0.127 0.127 0.127
0.500 0.500 0.500
```

YHg2I: relaxed, PBE.

Computed properties:
For the density of states at the Fermi level, the calculation gives 2.511 states/eV/cell. For the uncorrected formation energy, the calculation gives -363 meV per atom.

Cell and atoms, written as POSCAR:
```
YHg2I
1.0
-1.152 3.875 -2.477
-0.459 -2.617 -3.880
-9.559 -1.481 2.129
I Y Hg
2 2 4
direct
0.000 0.000 0.335
0.500 0.500 0.835
0.000 0.500 0.585
0.500 0.000 0.085
0.000 0.500 0.085
0.500 0.000 0.585
0.000 0.000 0.835
0.500 0.500 0.335
```

KPu2Cd2O7: relaxed, PBE.

Computed properties:
For the density of states at the Fermi level, the calculation gives 8.373 states/eV/cell. For the uncorrected formation energy, the calculation gives -2117 meV per atom.

Cell and atoms, written as POSCAR:
```
KPu2Cd2O7
1.0
4.220 0.000 0.000
0.000 4.495 0.000
-2.110 -2.247 10.124
K Pu Cd O
1 2 2 7
direct
0.000 0.000 0.000
0.395 0.395 0.790
0.605 0.605 0.210
0.274 0.774 0.548
0.726 0.226 0.452
0.389 0.889 0.779
0.723 0.723 0.446
0.105 0.605 0.210
0.611 0.111 0.221
0.277 0.277 0.554
0.895 0.395 0.790
0.500 0.500 0.000
```

CsAsAu2: relaxed, PBE.

Computed properties:
The value obtained for the total energy is -3.21 eV/atom. For the density of states at the Fermi level, the calculation gives 1.626 states/eV/cell.

Cell and atoms, written as POSCAR:
```
CsAsAu2
1.0
4.738 0.000 0.000
2.369 4.103 0.000
2.369 1.368 6.466
Cs As Au
1 1 2
direct
0.000 0.000 0.000
0.500 0.500 0.500
0.186 0.186 0.442
0.814 0.814 0.558
```

NiHg2P: relaxed, PBE.

Computed properties:
The value obtained for the total energy is -2.47 eV/atom. For the density of states at the Fermi level, the calculation gives 2.118 states/eV/cell.

Cell and atoms, written as POSCAR:
```
NiHg2P
1.0
0.047 -2.115 -3.752
-0.796 -3.371 2.560
-4.192 0.665 -0.428
Ni Hg P
1 2 1
direct
0.500 0.500 0.500
0.738 0.262 0.000
0.262 0.738 0.000
0.000 0.000 0.500
```